Record 1
VASP calculation (SCAN) on SiAsPdSe2 at its PBEsol-relaxed geometry.

abc: 4.9855 4.9855 4.5798
angles: 90.00 90.00 90.00
Last column: nearest neighbours and their distance in Å.
Space group P4/mmm (No. 123)
Symmetry-distinct sites (fractional):
Si: 0.0000 0.0000 0.0000 [1 per cell]  8 Se 3.38, 4 As 3.53
As: 0.5000 0.5000 0.0000 [1 per cell]  2 Pd 2.29
Pd: 0.5000 0.5000 0.5000 [1 per cell]  2 As 2.29, 4 Se 2.49
Se: 0.0000 0.5000 0.5000 [2 per cell]  2 Pd 2.49

- Formation energy without anion corrections: 0.730 eV per atom

=====

Record 2
VASP calculation (SCAN) on RbHfNiB2 at its PBEsol-relaxed geometry.

abc: 4.4331 4.4331 5.5805
angles: 90.00 90.00 90.00
Last column: nearest neighbours and their distance in Å.
Space group P4/mmm (No. 123)
Symmetry-distinct sites (fractional):
Rb: 0.0000 0.0000 0.0000 [1 per cell]  2 Hf 2.79
Hf: 0.0000 0.0000 0.5000 [1 per cell]  4 B 2.22
Ni: 0.5000 0.5000 0.0000 [1 per cell]  4 Rb 3.13
B: 0.0000 0.5000 0.5000 [2 per cell]  2 Hf 2.22

- ΔH_f (0 K): 2128 meV/atom

=====

Record 3
VASP calculation (SCAN) on Ho5Sb3 at its PBEsol-relaxed geometry.

abc: 8.8141 8.8141 6.1582
angles: 90.00 90.00 120.00
Last column: nearest neighbours and their distance in Å.
Space group P6_3/mcm (No. 193)
Symmetry-distinct sites (fractional):
Ho: 0.0000 0.2463 0.2500 [6 per cell]  5 Sb 3.01-3.33
Ho: 0.3333 0.6667 0.0000 [4 per cell]  2 Ho 3.08, 6 Sb 3.13
Sb: 0.0000 0.3897 0.7500 [6 per cell]  9 Ho 3.01-3.33

- Formation energy without anion corrections: -0.990 eV per atom

=====

Record 4
VASP calculation (SCAN) on CoIr2Pt at its PBEsol-relaxed geometry.

abc: 2.6907 3.7493 5.3369
angles: 90.00 90.00 90.00
Last column: nearest neighbours and their distance in Å.
Space group Pmm2 (No. 25)
Symmetry-distinct sites (fractional):
Co: 0.0000 0.0000 0.0000 [1 per cell]  6 Ir 2.58-2.75, 4 Pt 2.66, 2 Co 2.69
Ir: 0.0000 0.0000 0.4839 [1 per cell]  2 Co 2.58-2.75, 6 Ir 2.64-2.69, 4 Pt 2.72
Ir: 0.5000 0.5000 0.2417 [1 per cell]  2 Pt 2.60-2.73, 4 Co 2.64, 6 Ir 2.64-2.69
Pt: 0.5000 0.5000 0.7538 [1 per cell]  6 Ir 2.60-2.73, 4 Co 2.66, 2 Pt 2.69

- ΔH_f (0 K): 1 meV/atom
- ΔE to the lowest computed polymorph: 19 meV per atom

=====

| no. | magnetic moment (μB per formula unit) | DOS at the Fermi energy (states/eV/f.u.) |
| --- | --- | --- |
| 1 | 0.0 | 3.2 |
| 2 | 1.2 | 5.5 |
| 3 | 0.0 | 6.5 |
| 4 | 2.1 | 3.9 |